1.
Entry from the Alexandria database: a PBEsol-optimized structure of AgBr2NCl (meta-GGA SCAN).

```
AgBr2NCl
1.0
4.709 0.000 0.000
0.000 4.709 0.000
0.000 0.000 4.212
Ag Br N Cl
1 2 1 1
Direct
0.000 0.000 0.000
0.000 0.500 0.500
0.500 0.000 0.500
0.500 0.500 0.500
0.500 0.500 0.000
```

## Properties
E_form (uncorrected) in eV per atom: 0.819

2.
Entry from the Alexandria database: a PBEsol-optimized structure of NaAgBr2Cl (meta-GGA SCAN).

```
NaAgBr2Cl
1.0
5.034 0.000 0.000
0.000 5.034 0.000
0.000 0.000 6.168
Na Ag Br Cl
1 1 2 1
Direct
0.000 0.000 0.000
0.000 0.000 0.500
0.000 0.500 0.000
0.500 0.000 0.000
0.500 0.500 0.500
```

## Properties
E_form (uncorrected) in eV per atom: -0.070

3.
Entry from the Alexandria database: a PBEsol-optimized structure of NbAg2BrCl (meta-GGA SCAN).

```
NbAg2BrCl
1.0
5.061 0.000 0.000
0.000 5.061 0.000
0.000 0.000 4.878
Nb Ag Br Cl
1 2 1 1
Direct
0.000 0.000 0.000
0.000 0.500 0.500
0.500 0.000 0.500
0.000 0.000 0.500
0.500 0.500 0.000
```

## Properties
E_form (uncorrected) in eV per atom: 0.888

4.
Entry from the Alexandria database: a PBEsol-optimized structure of Ag10Te4BrCl (meta-GGA SCAN).

```
Ag10Te4BrCl
1.0
13.664 0.000 0.000
0.000 7.545 0.000
-13.607 0.000 13.708
Ag Te Br Cl
40 16 4 4
Direct
0.015 0.106 0.088
0.015 0.394 0.588
0.066 0.749 0.206
0.066 0.751 0.706
0.136 0.210 0.289
0.136 0.290 0.789
0.171 0.635 0.051
0.171 0.865 0.551
0.187 0.067 0.933
0.187 0.433 0.433
0.249 0.014 0.110
0.249 0.486 0.610
0.361 0.144 0.613
0.361 0.356 0.113
0.364 0.611 0.429
0.364 0.889 0.929
0.467 0.632 0.075
0.467 0.868 0.575
0.472 0.020 0.115
0.472 0.480 0.615
0.528 0.520 0.385
0.528 0.980 0.885
0.533 0.132 0.425
0.533 0.368 0.925
0.636 0.111 0.071
0.636 0.389 0.571
0.639 0.644 0.887
0.639 0.856 0.387
0.751 0.514 0.390
0.751 0.986 0.890
0.813 0.567 0.567
0.813 0.933 0.067
0.829 0.135 0.449
0.829 0.365 0.949
0.864 0.710 0.211
0.864 0.790 0.711
0.934 0.249 0.294
0.934 0.251 0.794
0.985 0.606 0.412
0.985 0.894 0.912
0.070 0.215 0.488
0.070 0.285 0.988
0.134 0.707 0.878
0.134 0.793 0.378
0.394 0.203 0.484
0.394 0.297 0.984
0.439 0.746 0.194
0.439 0.754 0.694
0.561 0.246 0.306
0.561 0.254 0.806
0.606 0.703 0.016
0.606 0.797 0.516
0.866 0.207 0.622
0.866 0.293 0.122
0.930 0.715 0.012
0.930 0.785 0.512
0.242 0.015 0.749
0.242 0.485 0.249
0.758 0.515 0.751
0.758 0.985 0.251
0.258 0.508 0.755
0.258 0.992 0.255
0.742 0.008 0.745
0.742 0.492 0.245
```

## Properties
E_form (uncorrected) in eV per atom: -0.191

5.
Entry from the Alexandria database: a PBEsol-optimized structure of Co2AgBr (meta-GGA SCAN).

```
Co2AgBr
1.0
1.473 0.850 7.766
-1.473 0.850 7.766
0.000 -1.700 7.766
Co Ag Br
2 1 1
Direct
0.246 0.246 0.246
0.754 0.754 0.754
0.000 0.000 0.000
0.500 0.500 0.500
```

## Properties
E_form (uncorrected) in eV per atom: 0.615

6.
Entry from the Alexandria database: a PBEsol-optimized structure of Co2AgBr (meta-GGA SCAN).

```
Co2AgBr
1.0
4.311 0.000 0.000
0.000 4.311 0.000
0.000 0.000 3.061
Co Ag Br
2 1 1
Direct
0.000 0.500 0.000
0.500 0.000 0.000
0.000 0.000 0.500
0.500 0.500 0.500
```

## Properties
E_form (uncorrected) in eV per atom: 0.590

7.
Entry from the Alexandria database: a PBEsol-optimized structure of CoAgBr3 (meta-GGA SCAN).

```
CoAgBr3
1.0
5.161 0.000 0.000
0.000 5.161 0.000
0.000 0.000 5.161
Co Ag Br
1 1 3
Direct
0.000 0.000 0.000
0.500 0.500 0.500
0.000 0.500 0.500
0.500 0.000 0.500
0.500 0.500 0.000
```

## Properties
E_form (uncorrected) in eV per atom: 0.433

8.
Entry from the Alexandria database: a PBEsol-optimized structure of Co2AgBr (meta-GGA SCAN).

```
Co2AgBr
1.0
3.787 -1.475 0.000
3.787 1.475 0.000
-1.029 0.000 5.260
Co Ag Br
2 1 1
Direct
0.248 0.248 0.210
0.752 0.752 0.790
0.000 0.000 0.500
0.500 0.500 0.000
```

## Properties
E_form (uncorrected) in eV per atom: 0.773

Which value of E_form (uncorrected) does entry 2 give? -0.070 eV per atom